(1)
# B2Pt2S

Crystalline B2Pt2S at its relaxed geometry (PBE, Alexandria via LeMat-Bulk).

a = 6.6095 Å, b = 6.6095 Å, c = 2.8488 Å
α = 90.00°, β = 90.00°, γ = 90.00°
Atoms (fractional coordinates):
B1 0.1216 0.3784 0.0000
B2 0.3784 0.8784 0.0000
B3 0.6216 0.1216 0.0000
B4 0.8784 0.6216 0.0000
Pt1 0.1457 0.6457 0.5000
Pt2 0.3543 0.1457 0.5000
Pt3 0.6457 0.8543 0.5000
Pt4 0.8543 0.3543 0.5000
S1 0.0000 0.0000 0.0000
S2 0.5000 0.5000 0.0000

Summary:
Crystal system ... tetragonal
Symmetry ... P4/mbm, No. 127
ΔE to the lowest computed polymorph ... 0.486 eV/atom
Uncorrected formation energy ... 0.7252 eV/atom

(2)
# BPt2S

Crystalline BPt2S at its relaxed geometry (PBE, Alexandria via LeMat-Bulk).

a = 4.2210 Å, b = 4.2210 Å, c = 4.2210 Å
α = 60.00°, β = 60.00°, γ = 60.00°
Atoms (fractional coordinates):
B1 0.0000 0.0000 0.0000
Pt1 0.2500 0.2500 0.2500
Pt2 0.7500 0.7500 0.7500
S1 0.5000 0.5000 0.5000

Summary:
Crystal system ... cubic
Symmetry ... Fm-3m, No. 225
ΔE to the lowest computed polymorph ... 0.723 eV/atom
Uncorrected formation energy ... 0.7143 eV/atom

(3)
# BPtS2

Crystalline BPtS2 at its relaxed geometry (PBE, Alexandria via LeMat-Bulk).

a = 7.0778 Å, b = 7.0778 Å, c = 7.0778 Å
α = 25.02°, β = 25.02°, γ = 25.02°
Atoms (fractional coordinates):
B1 0.0000 0.0000 0.0000
Pt1 0.5000 0.5000 0.5000
S1 0.3896 0.3896 0.3896
S2 0.6104 0.6104 0.6104

Summary:
Crystal system ... trigonal
Symmetry ... R-3m, No. 166
Uncorrected formation energy ... 0.1524 eV/atom

(4)
# B2Pt2S

Crystalline B2Pt2S at its relaxed geometry (PBE, Alexandria via LeMat-Bulk).

a = 4.8651 Å, b = 4.8651 Å, c = 4.8651 Å
α = 131.80°, β = 131.80°, γ = 70.55°
Atoms (fractional coordinates):
B1 0.1071 0.1071 0.0000
B2 0.8929 0.8929 0.0000
Pt1 0.2500 0.7500 0.5000
Pt2 0.7500 0.2500 0.5000
S1 0.5000 0.5000 0.0000

Summary:
Crystal system ... tetragonal
Symmetry ... I4/mmm, No. 139
ΔE to the lowest computed polymorph ... 0.000 eV/atom
Uncorrected formation energy ... 0.2388 eV/atom